Record 1
{"formula": "Cs12CdAg6", "functional": "PBE", "state": "optimized geometry", "lattice_angstrom": [[-6.668, 6.668, 6.668], [6.668, -6.668, 6.668], [6.668, 6.668, -6.668]], "species": ["Cs", "Cs", "Cs", "Cs", "Cs", "Cs", "Cs", "Cs", "Cs", "Cs", "Cs", "Cs", "Cd", "Ag", "Ag", "Ag", "Ag", "Ag", "Ag"], "fractional_positions": [[0.128, 0.309, 0.819], [0.181, 0.490, 0.309], [0.181, 0.872, 0.691], [0.309, 0.181, 0.490], [0.309, 0.819, 0.128], [0.490, 0.309, 0.181], [0.510, 0.691, 0.819], [0.691, 0.181, 0.872], [0.691, 0.819, 0.510], [0.819, 0.128, 0.309], [0.819, 0.510, 0.691], [0.872, 0.691, 0.181], [0.000, 0.000, 0.000], [0.107, 0.500, 0.607], [0.393, 0.893, 0.500], [0.500, 0.393, 0.893], [0.500, 0.607, 0.107], [0.607, 0.107, 0.500], [0.893, 0.500, 0.393]], "formation_enthalpy_0k_ev_per_atom": 0.030, "dos_ef_per_ev_cell": 11.237}

Record 2
{"formula": "Cs2Cd3Ag4", "functional": "PBE", "state": "optimized geometry", "lattice_angstrom": [[-5.013, 5.460, 6.490], [5.013, -5.460, 6.490], [5.013, 5.460, -6.490]], "species": ["Cs", "Cs", "Cs", "Cs", "Cd", "Cd", "Cd", "Cd", "Cd", "Cd", "Ag", "Ag", "Ag", "Ag", "Ag", "Ag", "Ag", "Ag"], "fractional_positions": [[0.118, 0.247, 0.365], [0.382, 0.747, 0.129], [0.618, 0.253, 0.871], [0.882, 0.753, 0.635], [0.035, 0.250, 0.785], [0.250, 0.750, 0.500], [0.465, 0.250, 0.215], [0.535, 0.750, 0.785], [0.750, 0.250, 0.500], [0.965, 0.750, 0.215], [0.100, 0.485, 0.134], [0.148, 0.015, 0.615], [0.352, 0.966, 0.866], [0.400, 0.534, 0.385], [0.600, 0.466, 0.615], [0.648, 0.034, 0.134], [0.852, 0.985, 0.385], [0.900, 0.515, 0.866]], "formation_enthalpy_0k_ev_per_atom": 0.053, "dos_ef_per_ev_cell": 9.050}

Record 3
{"formula": "Cs2CdAg", "functional": "PBE", "state": "optimized geometry", "lattice_angstrom": [[0.000, 4.610, 4.610], [4.610, 0.000, 4.610], [4.610, 4.610, 0.000]], "species": ["Cs", "Cs", "Cd", "Ag"], "fractional_positions": [[0.250, 0.250, 0.250], [0.750, 0.750, 0.750], [0.000, 0.000, 0.000], [0.500, 0.500, 0.500]], "formation_enthalpy_0k_ev_per_atom": 0.070, "de_polymorph_mev_per_atom": 107, "dos_ef_per_ev_cell": 2.975}

Record 4
{"formula": "Cs4CdAg4", "functional": "PBE", "state": "optimized geometry", "lattice_angstrom": [[-3.859, 3.859, 7.704], [3.859, -3.859, 7.704], [3.859, 3.859, -7.704]], "species": ["Cs", "Cs", "Cs", "Cs", "Cd", "Ag", "Ag", "Ag", "Ag"], "fractional_positions": [[0.080, 0.645, 0.000], [0.355, 0.355, 0.434], [0.645, 0.080, 0.000], [0.920, 0.920, 0.566], [0.500, 0.500, 0.000], [0.176, 0.176, 0.572], [0.397, 0.824, 0.000], [0.603, 0.603, 0.428], [0.824, 0.397, 0.000]], "formation_enthalpy_0k_ev_per_atom": 0.071, "dos_ef_per_ev_cell": 0.823}

Record 5
{"formula": "Cs5Cd2Ag4", "functional": "PBE", "state": "optimized geometry", "lattice_angstrom": [[11.099, -2.713, 0.000], [11.099, 2.713, 0.000], [-2.142, 0.000, 9.102]], "species": ["Cs", "Cs", "Cs", "Cs", "Cs", "Cd", "Cd", "Ag", "Ag", "Ag", "Ag"], "fractional_positions": [[0.000, 0.000, 0.000], [0.334, 0.334, 0.063], [0.350, 0.350, 0.561], [0.650, 0.650, 0.439], [0.666, 0.666, 0.937], [0.059, 0.059, 0.637], [0.941, 0.941, 0.363], [0.196, 0.196, 0.711], [0.478, 0.478, 0.342], [0.522, 0.522, 0.658], [0.804, 0.804, 0.289]], "formation_enthalpy_0k_ev_per_atom": 0.046, "dos_ef_per_ev_cell": 5.525}

Record 6
{"formula": "CsCd4Ag2", "functional": "PBE", "state": "optimized geometry", "lattice_angstrom": [[8.873, 0.000, 0.000], [0.000, 8.873, 0.000], [0.000, 0.000, 4.652]], "species": ["Cs", "Cs", "Cd", "Cd", "Cd", "Cd", "Cd", "Cd", "Cd", "Cd", "Ag", "Ag", "Ag", "Ag"], "fractional_positions": [[0.000, 0.000, 0.000], [0.500, 0.500, 0.500], [0.090, 0.348, 0.500], [0.152, 0.590, 0.000], [0.348, 0.090, 0.500], [0.410, 0.848, 0.000], [0.590, 0.152, 0.000], [0.652, 0.910, 0.500], [0.848, 0.410, 0.000], [0.910, 0.652, 0.500], [0.227, 0.773, 0.500], [0.273, 0.273, 0.000], [0.727, 0.727, 0.000], [0.773, 0.227, 0.500]], "formation_enthalpy_0k_ev_per_atom": -0.034, "dos_ef_per_ev_cell": 3.622}

Record 7
{"formula": "CsCd5Ag2", "functional": "PBE", "state": "optimized geometry", "lattice_angstrom": [[-2.321, 4.188, 5.704], [2.321, -4.188, 5.704], [2.321, 4.188, -5.704]], "species": ["Cs", "Cd", "Cd", "Cd", "Cd", "Cd", "Ag", "Ag"], "fractional_positions": [[0.000, 0.000, 0.000], [0.159, 0.344, 0.815], [0.470, 0.656, 0.815], [0.500, 0.000, 0.500], [0.530, 0.344, 0.185], [0.841, 0.656, 0.185], [0.254, 0.754, 0.500], [0.746, 0.246, 0.500]], "formation_enthalpy_0k_ev_per_atom": -0.013, "dos_ef_per_ev_cell": 3.139}

Record 8
{"formula": "CsCd3Ag", "functional": "PBE", "state": "optimized geometry", "lattice_angstrom": [[7.153, 0.000, 0.000], [0.000, 7.153, 0.000], [0.000, 0.000, 7.153]], "species": ["Cs", "Cd", "Cd", "Cd", "Ag"], "fractional_positions": [[0.000, 0.000, 0.000], [0.000, 0.000, 0.500], [0.000, 0.500, 0.000], [0.500, 0.000, 0.000], [0.500, 0.500, 0.500]], "formation_enthalpy_0k_ev_per_atom": 0.738, "de_polymorph_mev_per_atom": 723, "dos_ef_per_ev_cell": 0.444}

Record 9
{"formula": "Cs2CdAg3", "functional": "PBE", "state": "optimized geometry", "lattice_angstrom": [[6.067, 0.000, 0.000], [0.000, 7.209, 0.000], [0.000, 0.000, 9.430]], "species": ["Cs", "Cs", "Cs", "Cs", "Cd", "Cd", "Ag", "Ag", "Ag", "Ag", "Ag", "Ag"], "fractional_positions": [[0.250, 0.000, 0.124], [0.250, 0.500, 0.357], [0.750, 0.000, 0.876], [0.750, 0.500, 0.643], [0.250, 0.500, 0.905], [0.750, 0.500, 0.095], [0.000, 0.000, 0.500], [0.250, 0.199, 0.709], [0.250, 0.801, 0.709], [0.500, 0.000, 0.500], [0.750, 0.199, 0.291], [0.750, 0.801, 0.291]], "formation_enthalpy_0k_ev_per_atom": 0.029, "dos_ef_per_ev_cell": 6.711}

Record 10
{"formula": "CsCd2Ag", "functional": "PBE", "state": "optimized geometry", "lattice_angstrom": [[4.923, 0.000, 0.000], [0.000, 6.482, 0.000], [0.000, 0.000, 8.325]], "species": ["Cs", "Cs", "Cd", "Cd", "Cd", "Cd", "Ag", "Ag"], "fractional_positions": [[0.250, 0.250, 0.072], [0.750, 0.750, 0.928], [0.250, 0.007, 0.619], [0.250, 0.493, 0.619], [0.750, 0.507, 0.381], [0.750, 0.993, 0.381], [0.250, 0.750, 0.330], [0.750, 0.250, 0.670]], "formation_enthalpy_0k_ev_per_atom": -0.019, "de_polymorph_mev_per_atom": 49, "dos_ef_per_ev_cell": 2.564}

Record 11
{"formula": "CsCdAg", "functional": "PBE", "state": "optimized geometry", "lattice_angstrom": [[5.003, 0.000, 0.000], [-2.502, 4.333, 0.000], [0.000, 0.000, 5.430]], "species": ["Cs", "Cd", "Ag"], "fractional_positions": [[0.000, 0.000, 0.000], [0.667, 0.333, 0.500], [0.333, 0.667, 0.500]], "formation_enthalpy_0k_ev_per_atom": -0.013, "de_polymorph_mev_per_atom": 0, "dos_ef_per_ev_cell": 0.966}

Record 12
{"formula": "CsCd2Ag3", "functional": "PBE", "state": "optimized geometry", "lattice_angstrom": [[6.009, -4.626, 0.000], [6.009, 4.626, 0.000], [0.000, 0.000, 5.988]], "species": ["Cs", "Cs", "Cd", "Cd", "Cd", "Cd", "Ag", "Ag", "Ag", "Ag", "Ag", "Ag"], "fractional_positions": [[0.157, 0.843, 0.750], [0.843, 0.157, 0.250], [0.302, 0.302, 0.000], [0.302, 0.302, 0.500], [0.698, 0.698, 0.000], [0.698, 0.698, 0.500], [0.030, 0.561, 0.250], [0.412, 0.588, 0.250], [0.439, 0.970, 0.250], [0.561, 0.030, 0.750], [0.588, 0.412, 0.750], [0.970, 0.439, 0.750]], "formation_enthalpy_0k_ev_per_atom": -0.042, "dos_ef_per_ev_cell": 3.215}